[1]
Computed, not measured: a relaxed Nd3Tm2Pb3 crystal at the PBE-GGA level of DFT.

Calculated values
Energy relative to the elements ... -533 meV/atom
V ... 30.9 A^3/atom
E_tot ... -38.64 eV per formula unit

Unit cell a=9.2329 b=9.2329 c=6.6997 alpha=90.00 beta=90.00 gamma=120.00
With the nearest neighbours (Å) after each atom.
Fractional coordinates of all 16 atoms:
Nd1 0.0000 0.2405 0.2500  3 Pb 3.21-3.33
Nd2 0.0000 0.7595 0.7500  3 Pb 3.21-3.33
Nd3 0.2405 0.0000 0.2500  3 Pb 3.21-3.33
Nd4 0.2405 0.2405 0.7500  3 Pb 3.21-3.33
Nd5 0.7595 0.0000 0.7500  3 Pb 3.21-3.33
Nd6 0.7595 0.7595 0.2500  3 Pb 3.21-3.33
Tm1 0.3333 0.6667 0.0000  6 Pb 3.28, 2 Tm 3.35
Tm2 0.3333 0.6667 0.5000  6 Pb 3.28, 2 Tm 3.35
Tm3 0.6667 0.3333 0.0000  6 Pb 3.28, 2 Tm 3.35
Tm4 0.6667 0.3333 0.5000  6 Pb 3.28, 2 Tm 3.35
Pb1 0.0000 0.3984 0.7500  3 Nd 3.21-3.33, 4 Tm 3.28
Pb2 0.0000 0.6016 0.2500  3 Nd 3.21-3.33, 4 Tm 3.28
Pb3 0.3984 0.0000 0.7500  3 Nd 3.21-3.33, 4 Tm 3.28
Pb4 0.3984 0.3984 0.2500  3 Nd 3.21-3.33, 4 Tm 3.28
Pb5 0.6016 0.0000 0.2500  3 Nd 3.21-3.33, 4 Tm 3.28
Pb6 0.6016 0.6016 0.7500  3 Nd 3.21-3.33, 4 Tm 3.28

---

[2]
Computed, not measured: a relaxed Sc3SnSe crystal at the PBE-GGA level of DFT.

Calculated values
Formation energy (no corrections) ... -4.52 eV per formula unit
V ... 24.3 A^3/atom
E_tot ... -31.00 eV per formula unit

Unit cell a=7.8493 b=3.9041 c=7.9864 alpha=90.00 beta=96.67 gamma=90.00
With the nearest neighbours (Å) after each atom.
Fractional coordinates of all 10 atoms:
Sc1 0.0919 0.2500 0.3346  3 Se 2.69-2.70, 2 Sn 2.96
Sc2 0.3434 0.2500 0.9710  1 Se 2.68, 2 Sn 2.93
Sc3 0.3802 0.7500 0.6269  2 Se 2.73, 3 Sn 2.97-3.03
Sc4 0.6198 0.2500 0.3731  2 Se 2.73, 3 Sn 2.97-3.03
Sc5 0.6566 0.7500 0.0290  1 Se 2.68, 2 Sn 2.93
Sc6 0.9081 0.7500 0.6654  3 Se 2.69-2.70, 2 Sn 2.96
Sn1 0.3498 0.7500 0.2456  8 Sc 2.93-3.12
Sn2 0.6502 0.2500 0.7544  8 Sc 2.93-3.12
Se1 0.1469 0.2500 0.6728  6 Sc 2.68-2.73
Se2 0.8531 0.7500 0.3272  6 Sc 2.68-2.73

---

[3]
Computed, not measured: a relaxed LiN2Cl crystal at the PBE-GGA level of DFT.

Calculated values
Formation energy (no corrections) ... 6.42 eV per formula unit
V ... 12.3 A^3/atom
E_tot ... -13.99 eV per formula unit

Unit cell a=5.8602 b=5.8602 c=5.8602 alpha=135.24 beta=135.24 gamma=65.16
With the nearest neighbours (Å) after each atom.
Fractional coordinates of all 8 atoms:
Li1 0.0000 0.0000 0.0000  4 N 2.11
Li2 0.7500 0.2500 0.5000  4 N 2.11
N1 0.1643 0.6250 0.0393  2 Cl 1.91, 2 Li 2.11
N2 0.3750 0.4143 0.5393  2 Cl 1.91, 2 Li 2.11
N3 0.5857 0.1250 0.9607  2 Cl 1.91, 2 Li 2.11
N4 0.8750 0.8357 0.4607  2 Cl 1.91, 2 Li 2.11
Cl1 0.2500 0.7500 0.5000  4 N 1.91
Cl2 0.5000 0.5000 0.0000  4 N 1.91

---

[4]
Computed, not measured: a relaxed CuAs2W crystal at the PBE-GGA level of DFT.

Calculated values
Energy relative to the elements ... 554 meV/atom
V ... 16.0 A^3/atom
E_tot ... -24.13 eV per formula unit

Unit cell a=3.2161 b=4.0230 c=4.9541 alpha=90.00 beta=90.00 gamma=90.00
With the nearest neighbours (Å) after each atom.
Fractional coordinates of all 4 atoms:
Cu1 0.0000 0.0000 0.0000  4 As 2.58
As1 0.0000 0.5000 0.5000  4 W 2.58
As2 0.5000 0.5000 0.0000  4 Cu 2.58
W1 0.5000 0.0000 0.5000  4 As 2.58

---

[5]
Computed, not measured: a relaxed MgAgSe2 crystal at the PBE-GGA level of DFT.

Calculated values
Formation energy (no corrections) ... -0.34 eV per formula unit
V ... 22.4 A^3/atom
E_tot ... -11.76 eV per formula unit

Unit cell a=2.9978 b=2.9978 c=9.9848 alpha=90.00 beta=90.00 gamma=90.12
With the nearest neighbours (Å) after each atom.
Fractional coordinates of all 4 atoms:
Mg1 0.0000 0.0000 0.0000  4 Se 2.78, 4 Ag 2.97, 4 Mg 3.00
Ag1 0.5000 0.5000 0.2079  4 Mg 2.97, 4 Ag 3.00, 4 Se 3.07
Se1 0.0000 0.0000 0.4300  4 Se 3.00, 4 Ag 3.07
Se2 0.5000 0.5000 0.8196  4 Mg 2.78, 4 Se 3.00

---

[6]
Computed, not measured: a relaxed Pm9Sm4Ho11 crystal at the PBE-GGA level of DFT.

Calculated values
Energy relative to the elements ... 54 meV/atom
V ... 33.1 A^3/atom
E_tot ... -110.69 eV per formula unit

Unit cell a=15.2283 b=15.2283 c=3.7252 alpha=90.00 beta=90.00 gamma=113.27
With the nearest neighbours (Å) after each atom.
Fractional coordinates of all 24 atoms:
Pm1 0.0000 0.0000 0.0000  4 Sm 3.63, 2 Pm 3.73, 8 Ho 3.91-4.04
Pm2 0.1313 0.6620 0.0000  3 Pm 3.46-3.73, 8 Ho 3.51-3.69, 1 Sm 3.54
Pm3 0.2880 0.4359 0.0000  8 Ho 3.52-3.71, 1 Sm 3.53, 3 Pm 3.73-3.76
Pm4 0.3380 0.8687 0.0000  3 Pm 3.46-3.73, 8 Ho 3.51-3.69, 1 Sm 3.54
Pm5 0.4359 0.2880 0.0000  8 Ho 3.52-3.71, 1 Sm 3.53, 3 Pm 3.73-3.76
Pm6 0.5641 0.7120 0.0000  8 Ho 3.52-3.71, 1 Sm 3.53, 3 Pm 3.73-3.76
Pm7 0.6620 0.1313 0.0000  3 Pm 3.46-3.73, 8 Ho 3.51-3.69, 1 Sm 3.54
Pm8 0.7120 0.5641 0.0000  8 Ho 3.52-3.71, 1 Sm 3.53, 3 Pm 3.73-3.76
Pm9 0.8687 0.3380 0.0000  3 Pm 3.46-3.73, 8 Ho 3.51-3.69, 1 Sm 3.54
Sm1 0.0549 0.2544 0.0000  6 Ho 3.30-3.42, 3 Pm 3.53-3.63
Sm2 0.2544 0.0549 0.0000  6 Ho 3.30-3.42, 3 Pm 3.53-3.63
Sm3 0.7456 0.9451 0.0000  6 Ho 3.30-3.42, 3 Pm 3.53-3.63
Sm4 0.9451 0.7456 0.0000  6 Ho 3.30-3.42, 3 Pm 3.53-3.63
Ho1 0.0940 0.4550 0.5000  2 Sm 3.42, 6 Pm 3.51-3.69, 4 Ho 3.63-3.81
Ho2 0.1350 0.8650 0.5000  4 Sm 3.31, 4 Pm 3.59
Ho3 0.2140 0.2140 0.5000  4 Sm 3.30, 4 Pm 3.63
Ho4 0.3388 0.6612 0.5000  8 Pm 3.67-3.71, 5 Ho 3.73-4.10
Ho5 0.4550 0.0940 0.5000  2 Sm 3.42, 6 Pm 3.51-3.69, 4 Ho 3.63-3.81
Ho6 0.5000 0.5000 0.5000  8 Pm 3.52, 2 Ho 3.73
Ho7 0.5450 0.9060 0.5000  2 Sm 3.42, 6 Pm 3.51-3.69, 4 Ho 3.63-3.81
Ho8 0.6612 0.3388 0.5000  8 Pm 3.67-3.71, 5 Ho 3.73-4.10
Ho9 0.7860 0.7860 0.5000  4 Sm 3.30, 4 Pm 3.63
Ho10 0.8650 0.1350 0.5000  4 Sm 3.31, 4 Pm 3.59
Ho11 0.9060 0.5450 0.5000  2 Sm 3.42, 6 Pm 3.51-3.69, 4 Ho 3.63-3.81

---

[7]
Computed, not measured: a relaxed TbTh2Cd4 crystal at the PBE-GGA level of DFT.

Calculated values
Energy relative to the elements ... -6 meV/atom
V ... 29.2 A^3/atom
E_tot ... -23.17 eV per formula unit

Unit cell a=8.4396 b=8.4396 c=8.4396 alpha=144.21 beta=144.21 gamma=51.51
With the nearest neighbours (Å) after each atom.
Fractional coordinates of all 7 atoms:
Tb1 0.0000 0.0000 0.0000  8 Cd 3.08
Th1 0.2556 0.2556 0.0000  8 Cd 3.31-3.42, 4 Th 3.67
Th2 0.7444 0.7444 0.0000  8 Cd 3.31-3.42, 4 Th 3.67
Cd1 0.1088 0.6088 0.5000  2 Tb 3.08, 1 Cd 3.31, 4 Th 3.31-3.42
Cd2 0.3912 0.8912 0.5000  2 Tb 3.08, 1 Cd 3.31, 4 Th 3.31-3.42
Cd3 0.6088 0.1088 0.5000  2 Tb 3.08, 1 Cd 3.31, 4 Th 3.31-3.42
Cd4 0.8912 0.3912 0.5000  2 Tb 3.08, 1 Cd 3.31, 4 Th 3.31-3.42

---

[8]
Computed, not measured: a relaxed PrTm3Bi3 crystal at the PBE-GGA level of DFT.

Calculated values
Energy relative to the elements ... -599 meV/atom
V ... 32.6 A^3/atom
E_tot ... -34.03 eV per formula unit

Unit cell a=8.1978 b=8.1978 c=8.1978 alpha=68.16 beta=68.16 gamma=68.16
With the nearest neighbours (Å) after each atom.
Fractional coordinates of all 14 atoms:
Pr1 0.1654 0.1654 0.1654  6 Bi 3.29-3.30
Pr2 0.8346 0.8346 0.8346  6 Bi 3.29-3.30
Tm1 0.1615 0.4196 0.6783  5 Bi 3.11-3.34
Tm2 0.3217 0.8385 0.5804  5 Bi 3.11-3.34
Tm3 0.4196 0.6783 0.1615  5 Bi 3.11-3.34
Tm4 0.5804 0.3217 0.8385  5 Bi 3.11-3.34
Tm5 0.6783 0.1615 0.4196  5 Bi 3.11-3.34
Tm6 0.8385 0.5804 0.3217  5 Bi 3.11-3.34
Bi1 0.0281 0.7954 0.4149  5 Tm 3.11-3.34, 2 Pr 3.29-3.30
Bi2 0.2046 0.5851 0.9719  5 Tm 3.11-3.34, 2 Pr 3.29-3.30
Bi3 0.4149 0.0281 0.7954  5 Tm 3.11-3.34, 2 Pr 3.29-3.30
Bi4 0.5851 0.9719 0.2046  5 Tm 3.11-3.34, 2 Pr 3.29-3.30
Bi5 0.7954 0.4149 0.0281  5 Tm 3.11-3.34, 2 Pr 3.29-3.30
Bi6 0.9719 0.2046 0.5851  5 Tm 3.11-3.34, 2 Pr 3.29-3.30

---

[9]
Computed, not measured: a relaxed Gd2YRh crystal at the PBE-GGA level of DFT.

Calculated values
Energy relative to the elements ... -306 meV/atom
V ... 29.5 A^3/atom
E_tot ... -43.20 eV per formula unit

Unit cell a=9.7000 b=9.7000 c=9.7000 alpha=22.57 beta=22.57 gamma=22.57
With the nearest neighbours (Å) after each atom.
Fractional coordinates of all 4 atoms:
Gd1 0.2270 0.2270 0.2270  3 Rh 2.78
Gd2 0.7730 0.7730 0.7730  3 Rh 2.78
Y1 0.0000 0.0000 0.0000  6 Gd 3.73, 6 Y 3.80
Rh1 0.5000 0.5000 0.5000  6 Gd 2.78

---

[10]
Computed, not measured: a relaxed PrBe2Cu9 crystal at the PBE-GGA level of DFT.

Calculated values
Energy relative to the elements ... -102 meV/atom
V ... 13.2 A^3/atom
E_tot ... -50.33 eV per formula unit

Unit cell a=7.7230 b=7.7230 c=7.7230 alpha=99.87 beta=99.87 gamma=131.08
With the nearest neighbours (Å) after each atom.
Fractional coordinates of all 24 atoms:
Pr1 0.3750 0.6250 0.7500  18 Cu 3.12-3.22, 4 Be 3.45
Pr2 0.6250 0.3750 0.2500  18 Cu 3.12-3.22, 4 Be 3.45
Be1 0.0000 0.0000 0.0000  10 Cu 2.35-2.61
Be2 0.0000 0.0000 0.5000  10 Cu 2.35-2.61
Be3 0.0000 0.5000 0.0000  10 Cu 2.35-2.61
Be4 0.5000 0.0000 0.5000  10 Cu 2.35-2.61
Cu1 0.1250 0.8750 0.2500  4 Be 2.61, 8 Cu 2.63
Cu2 0.1478 0.5712 0.3303  2 Be 2.35-2.41, 7 Cu 2.45-2.63
Cu3 0.1478 0.8174 0.5766  2 Be 2.35-2.41, 7 Cu 2.45-2.63
Cu4 0.1826 0.2592 0.3303  2 Be 2.35-2.41, 7 Cu 2.45-2.63
Cu5 0.1826 0.8522 0.9234  2 Be 2.35-2.41, 7 Cu 2.45-2.63
Cu6 0.2592 0.1826 0.8303  2 Be 2.35-2.41, 7 Cu 2.45-2.63
Cu7 0.2592 0.4288 0.0766  2 Be 2.35-2.41, 7 Cu 2.45-2.63
Cu8 0.4288 0.2592 0.5766  2 Be 2.35-2.41, 7 Cu 2.45-2.63
Cu9 0.4288 0.8522 0.1697  2 Be 2.35-2.41, 7 Cu 2.45-2.63
Cu10 0.5712 0.1478 0.8303  2 Be 2.35-2.41, 7 Cu 2.45-2.63
Cu11 0.5712 0.7408 0.4234  2 Be 2.35-2.41, 7 Cu 2.45-2.63
Cu12 0.7408 0.5712 0.9234  2 Be 2.35-2.41, 7 Cu 2.45-2.63
Cu13 0.7408 0.8174 0.1697  2 Be 2.35-2.41, 7 Cu 2.45-2.63
Cu14 0.8174 0.1478 0.0766  2 Be 2.35-2.41, 7 Cu 2.45-2.63
Cu15 0.8174 0.7408 0.6697  2 Be 2.35-2.41, 7 Cu 2.45-2.63
Cu16 0.8522 0.1826 0.4234  2 Be 2.35-2.41, 7 Cu 2.45-2.63
Cu17 0.8522 0.4288 0.6697  2 Be 2.35-2.41, 7 Cu 2.45-2.63
Cu18 0.8750 0.1250 0.7500  4 Be 2.61, 8 Cu 2.63

---

[11]
Computed, not measured: a relaxed CdCuTe2I crystal at the PBE-GGA level of DFT.

Calculated values
Formation energy (no corrections) ... 1.56 eV per formula unit
V ... 29.6 A^3/atom
E_tot ... -11.29 eV per formula unit

Unit cell a=5.2715 b=5.2715 c=5.3317 alpha=90.00 beta=90.00 gamma=90.00
With the nearest neighbours (Å) after each atom.
Fractional coordinates of all 5 atoms:
Cd1 0.0000 0.0000 0.0000  4 I 3.73, 8 Te 3.75
Cu1 0.5000 0.5000 0.5000  4 Te 2.64, 2 I 2.67
Te1 0.0000 0.5000 0.5000  2 Cu 2.64
Te2 0.5000 0.0000 0.5000  2 Cu 2.64
I1 0.5000 0.5000 0.0000  2 Cu 2.67

---

[12]
Computed, not measured: a relaxed MgFeBi2 crystal at the PBE-GGA level of DFT.

Calculated values
Energy relative to the elements ... 553 meV/atom
V ... 31.2 A^3/atom
E_tot ... -15.61 eV per formula unit

Unit cell a=7.5167 b=7.5167 c=7.5167 alpha=129.00 beta=129.00 gamma=75.01
With the nearest neighbours (Å) after each atom.
Fractional coordinates of all 8 atoms:
Mg1 0.0000 0.0000 0.0000  4 Bi 2.98
Mg2 0.7500 0.2500 0.5000  4 Bi 2.98
Fe1 0.2500 0.7500 0.5000  4 Bi 2.52
Fe2 0.5000 0.5000 0.0000  4 Bi 2.52
Bi1 0.1867 0.6250 0.0617  2 Fe 2.52
Bi2 0.3750 0.4367 0.5617  2 Fe 2.52
Bi3 0.5633 0.1250 0.9383  2 Fe 2.52
Bi4 0.8750 0.8133 0.4383  2 Fe 2.52